Density functional theory data (GGA-PBE) for an optimized crystal structure of ZnCr2Te.

Cell and atoms, written as extended XYZ:
```
8
Lattice="-2.254 -2.771 1.421 3.110 -2.098 0.841 0.827 1.436 9.309" Properties=species:S:1:pos:R:3 pbc="T T T"
Cr -0.642 -1.425 3.213
Cr 1.134 -3.024 8.898
Cr 1.177 -0.908 7.894
Cr 1.698 -1.509 3.138
Te -0.499 -1.885 5.931
Te 0.000 0.000 0.000
Zn 0.428 -2.434 1.131
Zn 2.182 -1.548 5.641
```

## Properties
Distance to the lowest polymorph of the same formula in eV per atom: 0.360
Space-group type: I-42d (122)
ΔE_f (raw) in eV per atom: 0.673